[1]
DFT (PBE) results for a geometry-optimized Zr2TcBr structure.

Unit cell a=5.8457 b=5.8457 c=7.7829 alpha=67.94 beta=67.94 gamma=90.00
Last column: nearest neighbours and their distance in Å.
Positions (direct):
Br (0.5000, 0.5000, 0.0000)  4 Zr 2.83
Br (0.2500, 0.7500, 0.5000)  4 Zr 2.83
Tc (0.0000, 0.0000, 0.0000)  4 Zr 2.49
Tc (0.7500, 0.2500, 0.5000)  4 Zr 2.49
Zr (0.6780, 0.1250, 0.2500)  2 Tc 2.49
Zr (0.0720, 0.6250, 0.2500)  2 Tc 2.49
Zr (0.3750, 0.3220, 0.7500)  2 Tc 2.49
Zr (0.8750, 0.9280, 0.7500)  2 Tc 2.49

Computed properties:
**Crystal system**: tetragonal
**Relative energy among the computed polymorphs**: 971 meV/atom
**Uncorrected formation energy**: 465 meV/atom
**Energy**: -6.819 eV/atom

---

[2]
DFT (PBE) results for a geometry-optimized ZrTcBr2 structure.

Unit cell a=3.5965 b=3.6032 c=7.6246 alpha=90.00 beta=90.00 gamma=90.00
Last column: nearest neighbours and their distance in Å.
Positions (direct):
Br (0.0000, 0.0000, 0.9081)  1 Tc 2.64
Br (0.5000, 0.5000, 0.3319)  1 Zr 2.79, 4 Tc 3.09
Tc (0.0000, 0.0000, 0.5623)  1 Br 2.64, 4 Zr 2.75
Zr (0.5000, 0.5000, 0.6976)  4 Tc 2.75, 5 Br 2.79-3.01

Computed properties:
**Crystal system**: tetragonal
**Relative energy among the computed polymorphs**: 158 meV/atom
**Uncorrected formation energy**: -195 meV/atom
**Energy**: -5.760 eV/atom

---

[3]
DFT (PBE) results for a geometry-optimized Zr2TcBr structure.

Unit cell a=5.0376 b=5.0376 c=5.0376 alpha=133.25 beta=117.38 gamma=81.66
Last column: nearest neighbours and their distance in Å.
Positions (direct):
Br (0.2500, 0.7500, 0.5000)  4 Zr 2.83
Tc (0.7500, 0.2500, 0.5000)  4 Zr 2.70
Zr (0.9876, 0.9876, 0.0000)  2 Tc 2.70, 2 Br 2.83
Zr (0.5124, 0.5124, 0.0000)  2 Tc 2.70, 2 Br 2.83

Computed properties:
**Crystal system**: orthorhombic
**Relative energy among the computed polymorphs**: 597 meV/atom
**Uncorrected formation energy**: 91 meV/atom
**Energy**: -7.193 eV/atom

---

[4]
DFT (PBE) results for a geometry-optimized Zr2TcBr structure.

Unit cell a=4.7962 b=4.7962 c=4.7962 alpha=60.00 beta=60.00 gamma=60.00
Last column: nearest neighbours and their distance in Å.
Positions (direct):
Br (0.0000, 0.0000, 0.0000)  8 Zr 2.94
Tc (0.5000, 0.5000, 0.5000)  8 Zr 2.94
Zr (0.2500, 0.2500, 0.2500)  4 Tc 2.94, 4 Br 2.94
Zr (0.7500, 0.7500, 0.7500)  4 Tc 2.94, 4 Br 2.94

Computed properties:
**Crystal system**: cubic
**Relative energy among the computed polymorphs**: 656 meV/atom
**Uncorrected formation energy**: 150 meV/atom
**Energy**: -7.134 eV/atom

---

[5]
DFT (PBE) results for a geometry-optimized Zr3TcBr structure.

Unit cell a=4.9010 b=4.9010 c=4.9010 alpha=90.00 beta=90.00 gamma=90.00
Last column: nearest neighbours and their distance in Å.
Positions (direct):
Br (0.0000, 0.0000, 0.0000)  6 Zr 2.45
Tc (0.5000, 0.5000, 0.5000)  12 Zr 3.47
Zr (0.0000, 0.5000, 0.0000)  2 Br 2.45
Zr (0.0000, 0.0000, 0.5000)  2 Br 2.45
Zr (0.5000, 0.0000, 0.0000)  2 Br 2.45

Computed properties:
**Crystal system**: cubic
**Relative energy among the computed polymorphs**: 343 meV/atom
**Uncorrected formation energy**: 780 meV/atom
**Energy**: -6.757 eV/atom

---

[6]
DFT (PBE) results for a geometry-optimized ZrTcBr2 structure.

Unit cell a=3.1551 b=5.7645 c=4.5577 alpha=90.00 beta=90.00 gamma=90.00
Last column: nearest neighbours and their distance in Å.
Positions (direct):
Br (0.0000, 0.0000, 0.0000)  4 Tc 2.77
Br (0.5000, 0.5000, 0.0000)  4 Zr 2.77
Tc (0.5000, 0.0000, 0.5000)  4 Br 2.77
Zr (0.0000, 0.5000, 0.5000)  4 Br 2.77

Computed properties:
**Crystal system**: orthorhombic
**Relative energy among the computed polymorphs**: 669 meV/atom
**Uncorrected formation energy**: 316 meV/atom
**Energy**: -5.249 eV/atom

---

[7]
DFT (PBE) results for a geometry-optimized Zr2TcBr structure.

Unit cell a=3.2206 b=7.1315 c=5.4822 alpha=40.14 beta=90.00 gamma=90.00
Last column: nearest neighbours and their distance in Å.
Positions (direct):
Br (0.5000, 0.5000, 0.5000)  6 Zr 2.74-2.81
Tc (0.0000, 0.0000, 0.5000)  6 Zr 2.74-2.81
Zr (0.0000, 0.0000, 0.0000)  2 Tc 2.74, 4 Br 2.81
Zr (0.5000, 0.5000, 0.0000)  2 Br 2.74, 4 Tc 2.81

Computed properties:
**Crystal system**: monoclinic
**Relative energy among the computed polymorphs**: 456 meV/atom
**Uncorrected formation energy**: -51 meV/atom
**Energy**: -7.334 eV/atom

---

[8]
DFT (PBE) results for a geometry-optimized ZrTcBr2 structure.

Unit cell a=3.2376 b=3.5065 c=9.1339 alpha=90.19 beta=90.00 gamma=90.00
Last column: nearest neighbours and their distance in Å.
Positions (direct):
Br (0.0000, 0.8740, 0.9424)  2 Zr 2.71
Br (0.5000, 0.3813, 0.3217)  2 Tc 2.51
Tc (0.0000, 0.3734, 0.5310)  2 Br 2.51
Zr (0.5000, 0.8713, 0.7050)  2 Br 2.71, 4 Tc 2.86-2.87

Computed properties:
**Crystal system**: monoclinic
**Relative energy among the computed polymorphs**: 0 meV/atom
**Uncorrected formation energy**: -353 meV/atom
**Energy**: -5.918 eV/atom

---

[9]
DFT (PBE) results for a geometry-optimized Zr2TcBr structure.

Unit cell a=4.1128 b=4.1128 c=8.2896 alpha=69.01 beta=69.01 gamma=47.88
Last column: nearest neighbours and their distance in Å.
Positions (direct):
Br (0.7500, 0.7500, 0.7500)  4 Zr 2.94
Tc (0.2500, 0.2500, 0.2500)  2 Zr 2.47
Zr (0.0615, 0.0615, 0.0637)  1 Tc 2.47
Zr (0.4385, 0.4385, 0.4363)  1 Tc 2.47

Computed properties:
**Crystal system**: monoclinic
**Relative energy among the computed polymorphs**: 169 meV/atom
**Uncorrected formation energy**: -337 meV/atom
**Energy**: -7.621 eV/atom

---

[10]
DFT (PBE) results for a geometry-optimized Zr2TcBr structure.

Unit cell a=3.2621 b=3.3318 c=8.0136 alpha=89.94 beta=90.00 gamma=90.00
Last column: nearest neighbours and their distance in Å.
Positions (direct):
Br (0.5000, 0.2500, 0.2500)  4 Zr 2.91
Tc (0.5000, 0.7500, 0.7500)  8 Zr 2.82
Zr (0.0000, 0.2492, 0.9489)  4 Tc 2.82, 2 Br 2.91
Zr (0.0000, 0.2508, 0.5511)  4 Tc 2.82, 2 Br 2.91

Computed properties:
**Crystal system**: monoclinic
**Relative energy among the computed polymorphs**: 0 meV/atom
**Uncorrected formation energy**: -506 meV/atom
**Energy**: -7.790 eV/atom

---

[11]
DFT (PBE) results for a geometry-optimized Zr2TcBr structure.

Unit cell a=4.8814 b=4.8814 c=3.2962 alpha=90.00 beta=90.00 gamma=101.06
Last column: nearest neighbours and their distance in Å.
Positions (direct):
Br (0.5000, 0.0000, 0.5000)  8 Zr 2.95, 2 Tc 3.10, 2 Br 3.30
Tc (0.0000, 0.5000, 0.5000)  8 Zr 2.95, 2 Br 3.10, 2 Tc 3.30
Zr (0.0000, 0.0000, 0.0000)  4 Br 2.95, 4 Tc 2.95, 4 Zr 3.10-3.30
Zr (0.5000, 0.5000, 0.0000)  4 Tc 2.95, 4 Br 2.95, 4 Zr 3.10-3.30

Computed properties:
**Crystal system**: orthorhombic
**Relative energy among the computed polymorphs**: 504 meV/atom
**Uncorrected formation energy**: -2 meV/atom
**Energy**: -7.286 eV/atom

---

[12]
DFT (PBE) results for a geometry-optimized ZrTcBr3 structure.

Unit cell a=4.9920 b=4.9920 c=4.9920 alpha=90.00 beta=90.00 gamma=90.00
Last column: nearest neighbours and their distance in Å.
Positions (direct):
Br (0.0000, 0.5000, 0.0000)  2 Tc 2.50
Br (0.0000, 0.0000, 0.5000)  2 Tc 2.50
Br (0.5000, 0.0000, 0.0000)  2 Tc 2.50
Tc (0.0000, 0.0000, 0.0000)  6 Br 2.50
Zr (0.5000, 0.5000, 0.5000)  12 Br 3.53

Computed properties:
**Crystal system**: cubic
**Uncorrected formation energy**: 687 meV/atom
**Energy**: -4.099 eV/atom